Entry 1:
The following is a DFT calculation (GGA-PBE) of CeTlCd3 after structural relaxation.

Lattice parameters (Å, degrees): 5.687 8.476 8.093 58.42 90.00 90.00
Positions (direct):
Tl 0.250 0.541 0.918
Tl 0.750 0.459 0.082
Ce 0.250 0.778 0.443
Ce 0.750 0.222 0.557
Cd 0.000 0.000 0.000
Cd 0.500 0.000 0.000
Cd 0.750 0.654 0.332
Cd 0.250 0.346 0.668
Cd 0.750 0.014 0.332
Cd 0.250 0.986 0.668

## Properties
For the formation enthalpy at 0 K, the calculation gives 201.4 meV per atom. Its total moment is 2.62 μB per cell.

***

Entry 2:
The following is a DFT calculation (GGA-PBE) of NpPa4S5 after structural relaxation.

Lattice parameters (Å, degrees): 5.519 6.748 6.748 80.38 65.86 65.86
Positions (direct):
Pa 0.801 0.801 0.600
Pa 0.601 0.600 0.199
Pa 0.201 0.199 0.400
Pa 0.401 0.400 0.801
S 0.101 0.602 0.199
S 0.501 0.000 0.000
S 0.703 0.199 0.398
S 0.901 0.398 0.801
S 0.299 0.801 0.602
Np 0.001 0.000 0.000

## Properties
The raw formation energy is -1.563 eV/atom. Its total moment is 5.78 μB per cell.

***

Entry 3:
The following is a DFT calculation (GGA-PBE) of AlIrCl2 after structural relaxation.

Lattice parameters (Å, degrees): 2.955 5.277 4.289 90.00 90.00 90.00
Positions (direct):
Al 0.000 0.500 0.500
Ir 0.500 0.000 0.500
Cl 0.000 0.000 0.000
Cl 0.500 0.500 0.000

## Properties
The raw formation energy is 0.262 eV/atom. The value obtained for the offset from the most stable computed form is 0.8094 eV per atom. Its total moment is 0.00 μB per cell.

***

| no. | density (g/cm³) |
| --- | --- |
| 1 | 6.81 |
| 2 | 10.48 |
| 3 | 7.20 |